No. 1
# Be2AsW

Be2AsW after structural relaxation (PBE, Alexandria).

The value obtained for the volume is 12.73 A^3/atom. As for the formation enthalpy at 0 K: 0.164 eV/atom. As for the symmetry: P4/mmm.

Structure (POSCAR):
```
Be2AsW
1.0
3.2304 0.0000 0.0000
0.0000 3.2304 0.0000
0.0000 0.0000 4.8788
Be W As
2 1 1
Direct
0.0000 0.0000 0.4757
0.0000 0.0000 0.0243
0.5000 0.5000 0.2500
0.5000 0.5000 0.7500
```

***

No. 2
# KSeCl5

KSeCl5 after structural relaxation (PBE, Alexandria).

The value obtained for the volume is 37.07 A^3/atom. The formation energy without anion corrections comes out at -0.754 eV per atom. As for the symmetry: Imm2.

Structure (POSCAR):
```
KSeCl5
1.0
-1.8550 4.1958 -3.3658
-7.0371 1.9658 1.5196
-0.4893 6.5231 3.5921
K Cl Se
1 5 1
Direct
0.0336 0.0000 0.0000
0.5289 0.2058 0.7942
0.6935 0.2870 0.2870
0.5289 0.7942 0.2058
0.2675 0.7130 0.7130
0.9334 0.5000 0.5000
0.5448 0.5000 0.5000
```

***

No. 3
# Ce5Pa2S12

Ce5Pa2S12 after structural relaxation (PBE, Alexandria).

The value obtained for the volume is 26.92 A^3/atom. The formation energy without anion corrections comes out at -1.808 eV per atom. As for the symmetry: C2/m.

Structure (POSCAR):
```
Ce5Pa2S12
1.0
7.5065 0.0000 0.0000
-3.7533 7.8189 0.0069
0.0000 -2.7453 8.7126
S Ce Pa
12 5 2
Direct
0.4011 0.3009 0.5658
0.8998 0.3009 0.5658
0.1002 0.6991 0.4342
0.4985 0.9969 0.7796
0.0087 0.0173 0.8065
0.9913 0.9827 0.1935
0.5524 0.6483 0.9069
0.4476 0.3517 0.0931
0.5989 0.6991 0.4342
0.0959 0.6483 0.9069
0.5015 0.0031 0.2204
0.9041 0.3517 0.0931
0.7038 0.4076 0.3637
0.6896 0.3793 0.8258
0.3104 0.6207 0.1742
0.2962 0.5924 0.6363
0.0000 0.0000 0.5000
0.7433 0.0000 0.0000
0.2567 0.0000 0.0000
```

***

What did the first record say?
# Be2AsW

Be2AsW after structural relaxation (PBE, Alexandria).

The value obtained for the volume is 12.73 A^3/atom. As for the formation enthalpy at 0 K: 0.164 eV/atom. As for the symmetry: P4/mmm.

Structure (POSCAR):
```
Be2AsW
1.0
3.2304 0.0000 0.0000
0.0000 3.2304 0.0000
0.0000 0.0000 4.8788
Be W As
2 1 1
Direct
0.0000 0.0000 0.4757
0.0000 0.0000 0.0243
0.5000 0.5000 0.2500
0.5000 0.5000 0.7500
```

***

What is the formula in the second record?
KSeCl5

***

Repeat the second record exactly.
# KSeCl5

KSeCl5 after structural relaxation (PBE, Alexandria).

The value obtained for the volume is 37.07 A^3/atom. The formation energy without anion corrections comes out at -0.754 eV per atom. As for the symmetry: Imm2.

Structure (POSCAR):
```
KSeCl5
1.0
-1.8550 4.1958 -3.3658
-7.0371 1.9658 1.5196
-0.4893 6.5231 3.5921
K Cl Se
1 5 1
Direct
0.0336 0.0000 0.0000
0.5289 0.2058 0.7942
0.6935 0.2870 0.2870
0.5289 0.7942 0.2058
0.2675 0.7130 0.7130
0.9334 0.5000 0.5000
0.5448 0.5000 0.5000
```

***

Look up the volume of the second one.
37.07 A^3/atom